No. 1
Compound: Tl2PtCl
Source: Alexandria via LeMat-Bulk
Functional: PBE
Structure: optimized geometry

## Properties
Raw total energy: -0.1198 Ha/atom
Crystal system: tetragonal
Distance to the lowest polymorph of the same formula: 0.223 eV per atom
Formation energy (no corrections): -0.1038 eV per atom

The structure in extended XYZ format:
```
4
Lattice="7.127 -0.028 0.000 4.845 5.227 0.000 -5.986 -2.600 2.865" Properties=species:S:1:pos:R:3 pbc="T T T"
Pt 3.563 -0.014 1.432
Tl 0.000 0.000 0.000
Tl 2.422 2.614 1.432
Cl 5.986 2.600 0.000
```

No. 2
Compound: UAlCo
Source: Alexandria via LeMat-Bulk
Functional: PBE
Structure: optimized geometry

## Properties
Raw total energy: -0.2799 Ha/atom
Crystal system: tetragonal
E_form: -0.2381 eV/atom

The structure in extended XYZ format:
```
3
Lattice="-2.636 -1.122 0.725 -0.216 -1.225 -2.681 3.881 -3.379 2.861" Properties=species:S:1:pos:R:3 pbc="T T T"
U 0.095 -0.177 0.073
Co -0.569 -2.762 -0.321
Al 1.503 -2.787 1.153
```

No. 3
Compound: Ta3BeRu4
Source: Alexandria via LeMat-Bulk
Functional: PBE
Structure: optimized geometry

## Properties
Raw total energy: -0.3654 Ha/atom
Crystal system: tetragonal
E_form: -0.3934 eV/atom

The structure in extended XYZ format:
```
8
Lattice="3.120 0.000 0.000 0.000 3.120 0.000 0.000 0.000 12.245" Properties=species:S:1:pos:R:3 pbc="T T T"
Ta 1.560 1.560 6.122
Ta 1.560 1.560 2.822
Ta 1.560 1.560 9.423
Be 1.560 1.560 0.000
Ru 0.000 0.000 7.761
Ru 0.000 0.000 1.345
Ru 0.000 0.000 10.900
Ru 0.000 0.000 4.484
```

No. 4
Compound: NdMg2Ag
Source: Alexandria via LeMat-Bulk
Functional: PBE
Structure: optimized geometry

## Properties
Raw total energy: -0.1071 Ha/atom
Crystal system: orthorhombic
E_form: -0.2130 eV/atom

The structure in extended XYZ format:
```
32
Lattice="5.751 0.000 0.000 0.000 8.129 0.000 0.000 0.000 16.911" Properties=species:S:1:pos:R:3 pbc="T T T"
Nd 4.291 2.032 6.674
Nd 0.287 2.032 10.821
Nd 2.589 2.032 2.366
Nd 3.162 6.097 14.545
Nd 5.464 6.097 6.090
Nd 1.460 6.097 10.237
Nd 4.336 2.032 15.130
Nd 1.415 6.097 1.781
Ag 5.524 2.032 1.179
Ag 3.103 2.032 9.635
Ag 1.376 2.032 5.390
Ag 0.227 6.097 15.731
Ag 4.252 6.097 3.066
Ag 4.375 6.097 11.521
Ag 2.648 6.097 7.276
Ag 1.499 2.032 13.845
Mg 2.595 7.687 4.821
Mg 1.453 0.447 16.304
Mg 0.281 4.507 13.277
Mg 2.595 4.507 4.821
Mg 5.471 3.622 3.634
Mg 4.329 4.512 9.063
Mg 0.281 7.687 13.277
Mg 4.329 7.682 9.063
Mg 4.298 7.682 0.607
Mg 1.422 3.617 7.848
Mg 1.422 0.447 7.848
Mg 5.471 0.443 3.634
Mg 3.156 0.443 12.090
Mg 1.453 3.617 16.304
Mg 4.298 4.512 0.607
Mg 3.156 3.622 12.090
```

| no. | calculated volume (Å³ per cell) |
| --- | --- |
| 1 | 107 |
| 2 | 48 |
| 3 | 119 |
| 4 | 791 |